Record 1
Compound: YNi6Ge2
Source: Alexandria via LeMat-Bulk
Functional: PBE-GGA
Structure: relaxed

formation energy: -0.189 eV per atom

Lattice parameters (Å, degrees): 5.723 5.723 4.228 95.86 95.86 74.95
Element x y z (fractional)
Y1 0.000 0.000 0.000
Ni1 0.091 0.435 0.749
Ni2 0.286 0.714 0.500
Ni3 0.435 0.091 0.749
Ni4 0.565 0.909 0.251
Ni5 0.714 0.286 0.500
Ni6 0.909 0.565 0.251
Ge1 0.325 0.325 0.251
Ge2 0.675 0.675 0.749

Record 2
Compound: Na3GaGe4
Source: Alexandria via LeMat-Bulk
Functional: PBE-GGA
Structure: relaxed

formation energy: 0.105 eV per atom

Lattice parameters (Å, degrees): 9.279 9.279 9.279 150.05 147.08 45.10
Element x y z (fractional)
Na1 0.000 0.000 0.000
Na2 0.293 0.793 0.500
Na3 0.707 0.207 0.500
Ga1 0.500 0.500 0.000
Ge1 0.113 0.377 0.735
Ge2 0.358 0.623 0.735
Ge3 0.642 0.377 0.265
Ge4 0.887 0.623 0.265

Record 3
Compound: TmTaCoTc
Source: Alexandria via LeMat-Bulk
Functional: PBE-GGA
Structure: relaxed

formation energy: -0.175 eV per atom

Lattice parameters (Å, degrees): 4.551 4.551 4.551 60.00 60.00 60.00
Element x y z (fractional)
Tm1 0.000 0.000 0.000
Ta1 0.500 0.500 0.500
Co1 0.750 0.750 0.750
Tc1 0.250 0.250 0.250

Record 4
Compound: Re3Pb
Source: Alexandria via LeMat-Bulk
Functional: PBE-GGA
Structure: relaxed

formation energy: 0.987 eV per atom

Lattice parameters (Å, degrees): 5.116 5.116 5.116 134.58 134.58 66.19
Element x y z (fractional)
Re1 0.000 0.000 0.000
Re2 0.250 0.750 0.500
Re3 0.750 0.250 0.500
Pb1 0.500 0.500 0.000